[1]
The following is a DFT calculation (SCAN) of Li2ZnFeP2O8 at its PBEsol-relaxed geometry.

Values from the calculation:
Uncorrected energy, eV/cell: -278.92
Spin magnetization, μB per atom: 0.2857

Cell lengths 4.6835, 5.9451, 10.1675 Å; angles 90.00, 90.28, 90.00 degrees
With the nearest neighbours (Å) after each atom.
Space group P2_1/m (No. 11)
Inequivalent atoms, fractional coordinates:
Li1 0.0000 0.0000 0.0000 (multiplicity 2)  6 O 2.09-2.18
Li2 0.5000 0.0000 0.5000 (multiplicity 2)  6 O 2.07-2.16
Zn1 0.0224 0.2500 0.7175 (multiplicity 2)  6 O 2.04-2.23
Fe1 0.4720 0.2500 0.2202 (multiplicity 2)  6 O 2.02-2.22
P1 0.0813 0.7500 0.5936 (multiplicity 2)  4 O 1.53-1.57
P2 0.4224 0.7500 0.0958 (multiplicity 2)  4 O 1.53-1.57
O1 0.2083 0.7500 0.4526 (multiplicity 2)  1 P 1.55
O2 0.2187 0.5433 0.6655 (multiplicity 4)  1 P 1.57
O3 0.2455 0.2500 0.4062 (multiplicity 2)  1 P 1.53
O4 0.2501 0.2500 0.9011 (multiplicity 2)  1 P 1.53
O5 0.2861 0.5437 0.1680 (multiplicity 4)  1 P 1.57
O6 0.2961 0.7500 0.9548 (multiplicity 2)  1 P 1.55

[2]
The following is a DFT calculation (SCAN) of Li2Zr7FeP12O48 at its PBEsol-relaxed geometry.

Values from the calculation:
Uncorrected energy, eV/cell: -859.01
Spin magnetization, μB per atom: 0.0606

Cell lengths 8.8412, 8.8862, 12.3858 Å; angles 90.62, 90.71, 90.33 degrees
With the nearest neighbours (Å) after each atom.
Space group P1 (No. 1)
Inequivalent atoms, fractional coordinates:
Li1 0.0000 0.0000 0.0000 (multiplicity 1)  4 O 1.93-2.05
Li2 0.0879 0.5043 0.1422 (multiplicity 1)  4 O 2.00-2.11
Zr1 0.0351 0.2474 0.6949 (multiplicity 1)  6 O 2.03-2.16
Zr2 0.0378 0.7510 0.4302 (multiplicity 1)  6 O 2.04-2.09
Zr3 0.0416 0.6826 0.9268 (multiplicity 1)  6 O 2.00-2.14
Zr4 0.5333 0.7559 0.6939 (multiplicity 1)  6 O 2.04-2.08
Zr5 0.5377 0.6877 0.1873 (multiplicity 1)  6 O 2.03-2.12
Zr6 0.5402 0.1951 0.9373 (multiplicity 1)  6 O 2.04-2.09
Zr7 0.5403 0.2578 0.4282 (multiplicity 1)  6 O 2.03-2.08
Fe1 0.0315 0.1812 0.2032 (multiplicity 1)  6 O 1.79-1.96
P1 0.1712 0.1129 0.4535 (multiplicity 1)  4 O 1.52-1.59
P2 0.1833 0.8427 0.1704 (multiplicity 1)  4 O 1.51-1.58
P3 0.2514 0.9697 0.8203 (multiplicity 1)  4 O 1.52-1.56
P4 0.3252 0.4728 0.8096 (multiplicity 1)  4 O 1.52-1.54
P5 0.3725 0.3346 0.1710 (multiplicity 1)  4 O 1.51-1.58
P6 0.4012 0.6202 0.4504 (multiplicity 1)  4 O 1.53-1.54
P7 0.6722 0.1196 0.6718 (multiplicity 1)  4 O 1.53-1.54
P8 0.6853 0.8350 0.9568 (multiplicity 1)  4 O 1.52-1.55
P9 0.7626 0.9749 0.3066 (multiplicity 1)  4 O 1.52-1.60
P10 0.8199 0.4601 0.2975 (multiplicity 1)  4 O 1.51-1.59
P11 0.8906 0.6051 0.6668 (multiplicity 1)  4 O 1.52-1.55
P12 0.9088 0.3211 0.9714 (multiplicity 1)  4 O 1.53-1.58
O1 0.0880 0.2147 0.5330 (multiplicity 1)  1 P 1.53
O2 0.1091 0.1480 0.3350 (multiplicity 1)  1 P 1.59
O3 0.1170 0.7263 0.0875 (multiplicity 1)  1 P 1.56
O4 0.1230 0.8009 0.2799 (multiplicity 1)  1 P 1.51
O5 0.1257 0.0035 0.1376 (multiplicity 1)  1 P 1.58
O6 0.1329 0.8929 0.8941 (multiplicity 1)  1 P 1.56
O7 0.1449 0.9475 0.4783 (multiplicity 1)  1 P 1.52
O8 0.1644 0.0699 0.7415 (multiplicity 1)  1 P 1.53
O9 0.1961 0.3098 0.1637 (multiplicity 1)  1 P 1.58
O10 0.2179 0.3805 0.7365 (multiplicity 1)  1 P 1.53
O11 0.2276 0.6196 0.4403 (multiplicity 1)  1 P 1.54
O12 0.2320 0.5820 0.8798 (multiplicity 1)  1 P 1.54
O13 0.3400 0.1460 0.4564 (multiplicity 1)  1 P 1.52
O14 0.3398 0.8531 0.7566 (multiplicity 1)  1 P 1.52
O15 0.3558 0.0634 0.8942 (multiplicity 1)  1 P 1.53
O16 0.3558 0.8364 0.1664 (multiplicity 1)  1 P 1.53
O17 0.3912 0.5045 0.1483 (multiplicity 1)  1 P 1.55
O18 0.4141 0.3728 0.8868 (multiplicity 1)  1 P 1.53
O19 0.4347 0.2962 0.2815 (multiplicity 1)  1 P 1.51
O20 0.4359 0.5580 0.7394 (multiplicity 1)  1 P 1.52
O21 0.4481 0.7293 0.5413 (multiplicity 1)  1 P 1.53
O22 0.4500 0.2372 0.0862 (multiplicity 1)  1 P 1.53
O23 0.4564 0.4611 0.4756 (multiplicity 1)  1 P 1.53
O24 0.4720 0.6725 0.3445 (multiplicity 1)  1 P 1.54
O25 0.6040 0.7280 0.0339 (multiplicity 1)  1 P 1.54
O26 0.6140 0.1755 0.7809 (multiplicity 1)  1 P 1.53
O27 0.6152 0.9598 0.6482 (multiplicity 1)  1 P 1.53
O28 0.6170 0.2220 0.5807 (multiplicity 1)  1 P 1.53
O29 0.6396 0.7927 0.8415 (multiplicity 1)  1 P 1.52
O30 0.6438 0.0695 0.3628 (multiplicity 1)  1 P 1.52
O31 0.6482 0.0003 0.9819 (multiplicity 1)  1 P 1.54
O32 0.6873 0.8592 0.2309 (multiplicity 1)  1 P 1.53
O33 0.7105 0.5320 0.2161 (multiplicity 1)  1 P 1.53
O34 0.7229 0.6383 0.6520 (multiplicity 1)  1 P 1.52
O35 0.7360 0.3200 0.9736 (multiplicity 1)  1 P 1.53
O36 0.7386 0.3587 0.3755 (multiplicity 1)  1 P 1.51
O37 0.8459 0.1189 0.6754 (multiplicity 1)  1 P 1.54
O38 0.8568 0.0810 0.2282 (multiplicity 1)  1 P 1.60
O39 0.8590 0.8191 0.9730 (multiplicity 1)  1 P 1.55
O40 0.8658 0.9007 0.3891 (multiplicity 1)  1 P 1.52
O41 0.9119 0.5816 0.3583 (multiplicity 1)  1 P 1.53
O42 0.9187 0.4362 0.6528 (multiplicity 1)  1 P 1.53
O43 0.9438 0.3722 0.2303 (multiplicity 1)  1 P 1.59
O44 0.9444 0.6511 0.7820 (multiplicity 1)  1 P 1.55
O45 0.9690 0.2011 0.0544 (multiplicity 1)  1 P 1.58
O46 0.9687 0.2702 0.8618 (multiplicity 1)  1 P 1.53
O47 0.9710 0.4794 0.0028 (multiplicity 1)  1 P 1.55
O48 0.9794 0.6954 0.5832 (multiplicity 1)  1 P 1.54

[3]
The following is a DFT calculation (SCAN) of Li6Fe3Sb3O16 at its PBEsol-relaxed geometry.

Values from the calculation:
Uncorrected energy, eV/cell: -659.88
Spin magnetization, μB per atom: 0.1786

Cell lengths 10.1620, 5.9314, 9.7814 Å; angles 90.00, 99.13, 90.00 degrees
With the nearest neighbours (Å) after each atom.
Space group Cm (No. 8)
Inequivalent atoms, fractional coordinates:
Li1 0.0000 0.0000 0.0000 (multiplicity 2)  3 O 1.95-2.02
Li2 0.0243 0.5000 0.0661 (multiplicity 2)  4 O 1.89-2.12
Li3 0.1002 0.5000 0.5857 (multiplicity 2)  3 O 1.78-1.89
Li4 0.2384 0.0000 0.1455 (multiplicity 2)  4 O 1.90-2.07
Li5 0.2816 0.0000 0.4696 (multiplicity 2)  3 O 1.94-1.96
Li6 0.4570 0.5000 0.5893 (multiplicity 2)  5 O 2.12-2.28
Fe1 0.0059 0.2461 0.3056 (multiplicity 4)  6 O 1.87-1.95
Fe2 0.4856 0.0000 0.8071 (multiplicity 2)  6 O 1.89-1.96
Sb1 0.2369 0.2482 0.8159 (multiplicity 4)  6 O 1.97-2.06
Sb2 0.2560 0.5000 0.2984 (multiplicity 2)  6 O 2.00-2.05
O1 0.0556 0.2714 0.7046 (multiplicity 4)  1 Li 1.89, 1 Fe 1.89, 1 Sb 1.99
O2 0.0887 0.0000 0.4037 (multiplicity 2)  2 Fe 1.87, 1 Li 1.96
O3 0.0988 0.5000 0.4038 (multiplicity 2)  1 Li 1.78, 2 Fe 1.95
O4 0.1399 0.2633 0.1925 (multiplicity 4)  1 Fe 1.89, 2 Li 1.95-2.10, 1 Sb 2.01
O5 0.1605 0.5000 0.9233 (multiplicity 2)  1 Fe 1.95, 2 Sb 2.05, 1 Li 2.12
O6 0.1779 0.0000 0.9331 (multiplicity 2)  2 Sb 2.01, 2 Li 2.02-2.07
O7 0.2888 0.5000 0.6962 (multiplicity 2)  2 Sb 2.02, 2 Li 2.05-2.14
O8 0.3061 0.0000 0.6987 (multiplicity 2)  1 Fe 1.96, 2 Sb 2.06
O9 0.3679 0.2688 0.4123 (multiplicity 4)  1 Fe 1.88, 1 Li 1.94, 1 Sb 2.00
O10 0.4166 0.5000 0.1960 (multiplicity 2)  2 Fe 1.95, 1 Sb 2.05
O11 0.4202 0.2230 0.9168 (multiplicity 4)  1 Fe 1.89, 1 Li 1.95, 1 Sb 1.97
O12 0.4238 0.0000 0.2134 (multiplicity 2)  2 Fe 1.88, 2 Li 1.89-1.90

[4]
The following is a DFT calculation (SCAN) of Li5Fe5Sb2O12 at its PBEsol-relaxed geometry.

Values from the calculation:
Uncorrected energy, eV/cell: -578.40
Spin magnetization, μB per atom: 0.6241

Cell lengths 5.3894, 8.8124, 9.7851 Å; angles 90.00, 102.79, 90.00 degrees
With the nearest neighbours (Å) after each atom.
Space group C2 (No. 5)
Inequivalent atoms, fractional coordinates:
Li1 0.0000 0.0000 0.0000 (multiplicity 2)  6 O 2.06-2.23
Li2 0.2189 0.3337 0.7564 (multiplicity 4)  5 O 2.03-2.26
Li3 0.2347 0.9815 0.7574 (multiplicity 4)  6 O 2.03-2.24
Fe1 0.0000 0.3207 0.0000 (multiplicity 2)  6 O 1.96-2.04
Fe2 0.0000 0.5173 0.5000 (multiplicity 2)  6 O 2.12-2.27
Fe3 0.0000 0.7978 0.5000 (multiplicity 2)  6 O 2.10-2.31
Fe4 0.2285 0.6590 0.7404 (multiplicity 4)  6 O 2.08-2.30
Sb1 0.0000 0.1570 0.5000 (multiplicity 2)  6 O 2.01-2.03
Sb2 0.0000 0.6574 0.0000 (multiplicity 2)  6 O 2.03-2.07
O1 0.1040 0.4895 0.8818 (multiplicity 4)  3 Li 2.03-2.19, 1 Sb 2.03, 2 Fe 2.04-2.24
O2 0.1218 0.9987 0.3786 (multiplicity 4)  1 Sb 2.03, 2 Li 2.09-2.26, 2 Fe 2.10-2.13
O3 0.1236 0.3189 0.3834 (multiplicity 4)  1 Sb 2.03, 2 Li 2.04-2.24, 3 Fe 2.10-2.27
O4 0.1276 0.1686 0.8861 (multiplicity 4)  1 Fe 1.96, 2 Li 2.06, 1 Sb 2.07
O5 0.1486 0.8155 0.8832 (multiplicity 4)  2 Fe 1.98-2.08, 1 Li 2.03, 1 Sb 2.07
O6 0.1591 0.6581 0.3654 (multiplicity 4)  1 Sb 2.01, 3 Fe 2.12, 2 Li 2.12-2.14

[5]
The following is a DFT calculation (SCAN) of Li4FeSbW2O12 at its PBEsol-relaxed geometry.

Values from the calculation:
Uncorrected energy, eV/cell: -321.40
Spin magnetization, μB per atom: 0.2500

Cell lengths 5.0837, 5.3760, 7.4073 Å; angles 85.76, 89.99, 89.86 degrees
With the nearest neighbours (Å) after each atom.
Space group P1 (No. 1)
Inequivalent atoms, fractional coordinates:
Li1 0.0000 0.0000 0.0000 (multiplicity 1)  3 O 1.90-1.95
Li2 0.0045 0.0545 0.5621 (multiplicity 1)  4 O 1.98-2.12
Li3 0.4992 0.5764 0.0248 (multiplicity 1)  4 O 1.94-2.16
Li4 0.5049 0.5744 0.5580 (multiplicity 1)  5 O 2.00-2.16
Fe1 0.5016 0.0052 0.7604 (multiplicity 1)  5 O 1.90-2.11
Sb1 0.0060 0.4866 0.2574 (multiplicity 1)  6 O 1.95-2.02
W1 0.9996 0.4901 0.7563 (multiplicity 1)  6 O 1.86-2.01
W2 0.5065 0.9904 0.2569 (multiplicity 1)  6 O 1.83-2.01
O1 0.1393 0.4674 0.5045 (multiplicity 1)  1 Sb 1.95, 1 Li 2.00, 1 W 2.01
O2 0.1785 0.1695 0.8017 (multiplicity 1)  1 Fe 1.90, 2 Li 1.90-2.12, 1 W 1.95
O3 0.2024 0.7887 0.1745 (multiplicity 1)  1 Li 1.95, 1 Sb 1.97, 1 W 2.01
O4 0.3065 0.6607 0.8033 (multiplicity 1)  1 W 1.86, 1 Li 1.94
O5 0.3196 0.2879 0.1808 (multiplicity 1)  1 W 1.91, 1 Sb 2.02, 1 Li 2.08
O6 0.3753 0.9673 0.4883 (multiplicity 1)  1 W 1.83, 1 Li 2.03
O7 0.6209 0.9627 0.0104 (multiplicity 1)  1 W 1.93, 2 Li 1.94-2.16, 1 Fe 1.95
O8 0.6816 0.6659 0.3161 (multiplicity 1)  1 Sb 1.97, 1 W 1.98, 1 Li 2.03
O9 0.7052 0.2910 0.6844 (multiplicity 1)  1 Fe 1.91, 1 W 1.94, 1 Li 2.00
O10 0.8075 0.7768 0.6878 (multiplicity 1)  1 W 1.86, 1 Li 1.98, 1 Fe 2.07
O11 0.8195 0.1600 0.3151 (multiplicity 1)  1 W 1.90, 1 Sb 2.01, 1 Li 2.10
O12 0.8736 0.4723 0.0034 (multiplicity 1)  1 W 1.93, 1 Li 1.99, 1 Sb 2.01

[6]
The following is a DFT calculation (SCAN) of Li2ScFeSi4O12 at its PBEsol-relaxed geometry.

Values from the calculation:
Uncorrected energy, eV/cell: -420.35
Spin magnetization, μB per atom: 0.2500

Cell lengths 9.7608, 8.8319, 5.3349 Å; angles 90.00, 110.21, 90.00 degrees
With the nearest neighbours (Å) after each atom.
Space group C2 (No. 5)
Inequivalent atoms, fractional coordinates:
Li1 0.0000 0.0000 0.0000 (multiplicity 2)  4 O 1.99-2.11
Li2 0.0000 0.4976 0.5000 (multiplicity 2)  4 O 2.04-2.13
Sc1 0.0000 0.1456 0.5000 (multiplicity 2)  6 O 1.99-2.20
Fe1 0.0000 0.3550 0.0000 (multiplicity 2)  4 O 1.90-2.04
Si1 0.2023 0.6564 0.9776 (multiplicity 4)  4 O 1.63-1.64
Si2 0.2022 0.8334 0.4804 (multiplicity 4)  4 O 1.61-1.65
O1 0.1179 0.3334 0.3965 (multiplicity 4)  1 Si 1.65
O2 0.1187 0.1610 0.9101 (multiplicity 4)  1 Si 1.64
O3 0.1293 0.4890 0.9123 (multiplicity 4)  1 Si 1.63
O4 0.1309 0.9989 0.4085 (multiplicity 4)  1 Si 1.61
O5 0.1415 0.7486 0.6946 (multiplicity 4)  2 Si 1.64
O6 0.1462 0.7376 0.2000 (multiplicity 4)  2 Si 1.63-1.64

[7]
The following is a DFT calculation (SCAN) of LiFeSe4O10 at its PBEsol-relaxed geometry.

Values from the calculation:
Uncorrected energy, eV/cell: -362.61
Spin magnetization, μB per atom: 0.3119

Cell lengths 5.8924, 6.8253, 10.3175 Å; angles 90.00, 90.00, 90.00 degrees
With the nearest neighbours (Å) after each atom.
Space group Pnc2 (No. 30)
Inequivalent atoms, fractional coordinates:
Li1 0.0000 0.0000 0.0000 (multiplicity 2)  6 O 2.09-2.14
Fe1 0.5000 0.0000 0.8783 (multiplicity 2)  6 O 1.98-2.06
Se1 0.2248 0.1325 0.2782 (multiplicity 4)  3 O 1.67-1.87
Se2 0.2727 0.6364 0.0878 (multiplicity 4)  3 O 1.71-1.85
O1 0.0000 0.0000 0.3713 (multiplicity 2)  2 Se 1.87
O2 0.0828 0.2051 0.1461 (multiplicity 4)  1 Se 1.67
O3 0.2207 0.1611 0.8746 (multiplicity 4)  1 Se 1.72
O4 0.3103 0.6484 0.5067 (multiplicity 4)  1 Se 1.71
O5 0.4050 0.6876 0.2320 (multiplicity 4)  1 Se 1.72
O6 0.5000 0.0000 0.5025 (multiplicity 2)  2 Se 1.85

[8]
The following is a DFT calculation (SCAN) of Li2FeSiO5 at its PBEsol-relaxed geometry.

Values from the calculation:
Uncorrected energy, eV/cell: -168.99
Spin magnetization, μB per atom: 0.4444

Cell lengths 6.3345, 6.3345, 4.3661 Å; angles 90.00, 90.00, 90.00 degrees
With the nearest neighbours (Å) after each atom.
Space group P4/nmm (No. 129, origin choice 2)
Inequivalent atoms, fractional coordinates:
Li1 0.0000 0.0000 0.0000 (multiplicity 4)  4 O 2.00
Fe1 0.2500 0.2500 0.3829 (multiplicity 2)  5 O 1.72-1.92
Si1 0.2500 0.7500 0.5000 (multiplicity 2)  4 O 1.64
O1 0.0437 0.7500 0.7256 (multiplicity 8)  1 Si 1.64
O2 0.2500 0.2500 0.7771 (multiplicity 2)  1 Fe 1.72

Number 1: uncorrected formation energy -2313 meV per atom. Number 2: uncorrected formation energy -2819 meV per atom. Number 3: uncorrected formation energy -1776 meV per atom. Number 4: uncorrected formation energy -1554 meV per atom. Number 5: uncorrected formation energy -2115 meV per atom. Number 6: uncorrected formation energy -2910 meV per atom. Number 7: uncorrected formation energy -1135 meV per atom. Number 8: uncorrected formation energy -2268 meV per atom.